No. 1
Material: FeAgSb2
Method: DFT, GGA-PBEsol
State: relaxed

POSCAR file:
```
FeAgSb2
1.0
1.660 0.958 8.057
-1.660 0.958 8.057
0.000 -1.917 8.057
Fe Ag Sb
1 1 2
direct
0.000 0.000 0.000
0.500 0.500 0.500
0.261 0.261 0.261
0.739 0.739 0.739
```

Summary:
Its formation energy from raw total energies is 14.2 kJ per mole of atoms. The density of states at the Fermi level is 0.5868 states/eV per atom.

---

No. 2
Material: LaScPt2
Method: DFT, GGA-PBEsol
State: relaxed

POSCAR file:
```
LaScPt2
1.0
4.465 0.000 0.000
0.000 1.829 5.202
0.000 -1.829 5.202
La Sc Pt
1 1 2
direct
0.000 0.000 0.000
0.500 0.724 0.724
0.000 0.268 0.268
0.500 0.441 0.441
```

Summary:
The density of states at the Fermi level is 0.7110 states/eV per atom. Its energy of formation is -1.0668 eV per atom.

---

No. 3
Material: CdIrOs2
Method: DFT, GGA-PBEsol
State: relaxed

POSCAR file:
```
CdIrOs2
1.0
-1.947 1.947 3.941
1.947 -1.947 3.941
1.947 1.947 -3.941
Cd Ir Os
1 1 2
direct
0.000 0.000 0.000
0.750 0.250 0.500
0.250 0.750 0.500
0.500 0.500 0.000
```

Summary:
The density of states at the Fermi level is 1.1156 states/eV per atom. Its energy of formation is 0.5702 eV per atom.